# meta-GGA SCAN NaCa9CoP7O28, single point on PBEsol structure
data_NaCa9CoP7O28
_chemical_formula_sum 'Na2 Ca18 Co2 P14 O56'
_cell_length_a 13.6505
_cell_length_b 13.6505
_cell_length_c 13.6505
_cell_angle_alpha 44.38
_cell_angle_beta 44.38
_cell_angle_gamma 44.38
_space_group_name_H-M_alt 'P 1'
_space_group_IT_number 1
loop_
_space_group_symop_operation_xyz
'x,y,z'
loop_
_atom_site_label
_atom_site_fract_x
_atom_site_fract_y
_atom_site_fract_z
_atom_site_occupancy
Na1 0.0000 0.0000 0.0000 1
Na2 0.5000 0.5000 0.5000 1
Ca1 0.1596 0.7526 0.7185 1
Ca2 0.2185 0.2526 0.6596 1
Ca3 0.2526 0.6596 0.2185 1
Ca4 0.2592 0.8698 0.2831 1
Ca5 0.2831 0.2592 0.8698 1
Ca6 0.3698 0.7592 0.7831 1
Ca7 0.3752 0.9741 0.3862 1
Ca8 0.3862 0.3752 0.9741 1
Ca9 0.4741 0.8752 0.8862 1
Ca10 0.6596 0.2185 0.2526 1
Ca11 0.7185 0.1596 0.7526 1
Ca12 0.7526 0.7185 0.1596 1
Ca13 0.7592 0.7831 0.3698 1
Ca14 0.7831 0.3698 0.7592 1
Ca15 0.8698 0.2831 0.2592 1
Ca16 0.8752 0.8862 0.4741 1
Ca17 0.8862 0.4741 0.8752 1
Ca18 0.9741 0.3862 0.3752 1
Co1 0.3136 0.3136 0.3136 1
Co2 0.8136 0.8136 0.8136 1
P1 0.9995 0.5379 0.4933 1
P2 0.0379 0.4995 0.9933 1
P3 0.0792 0.0792 0.0792 1
P4 0.0848 0.1223 0.6356 1
P5 0.1223 0.6356 0.0848 1
P6 0.1356 0.6223 0.5848 1
P7 0.4933 0.9995 0.5379 1
P8 0.4995 0.9933 0.0379 1
P9 0.5379 0.4933 0.9995 1
P10 0.5792 0.5792 0.5792 1
P11 0.5848 0.1356 0.6223 1
P12 0.6223 0.5848 0.1356 1
P13 0.6356 0.0848 0.1223 1
P14 0.9933 0.0379 0.4995 1
O1 0.0004 0.4246 0.9834 1
O2 0.0645 0.1661 0.7288 1
O3 0.0683 0.2056 0.9216 1
O4 0.1210 0.1210 0.1210 1
O5 0.1475 0.7031 0.4218 1
O6 0.1614 0.9463 0.6925 1
O7 0.1646 0.9857 0.4406 1
O8 0.1661 0.7288 0.0645 1
O9 0.1784 0.4484 0.4268 1
O10 0.1851 0.1912 0.4577 1
O11 0.1912 0.4577 0.1851 1
O12 0.1925 0.4463 0.6614 1
O13 0.2031 0.6475 0.9218 1
O14 0.2056 0.9216 0.0683 1
O15 0.2126 0.4591 0.8952 1
O16 0.2288 0.6661 0.5645 1
O17 0.3952 0.9591 0.7126 1
O18 0.4218 0.1475 0.7031 1
O19 0.4216 0.7056 0.5683 1
O20 0.4246 0.9834 0.0004 1
O21 0.4268 0.1784 0.4484 1
O22 0.4406 0.1646 0.9857 1
O23 0.4463 0.6614 0.1925 1
O24 0.4484 0.4268 0.1784 1
O25 0.4577 0.1851 0.1912 1
O26 0.4591 0.8952 0.2126 1
O27 0.4834 0.9246 0.5004 1
O28 0.4857 0.6646 0.9406 1
O29 0.5004 0.4834 0.9246 1
O30 0.5645 0.2288 0.6661 1
O31 0.5683 0.4216 0.7056 1
O32 0.6210 0.6210 0.6210 1
O33 0.6475 0.9218 0.2031 1
O34 0.6614 0.1925 0.4463 1
O35 0.6646 0.9406 0.4857 1
O36 0.6661 0.5645 0.2288 1
O37 0.6784 0.9268 0.9484 1
O38 0.6851 0.9577 0.6912 1
O39 0.6912 0.6851 0.9577 1
O40 0.6925 0.1614 0.9463 1
O41 0.7031 0.4218 0.1475 1
O42 0.7056 0.5683 0.4216 1
O43 0.7126 0.3952 0.9591 1
O44 0.7288 0.0645 0.1661 1
O45 0.8952 0.2126 0.4591 1
O46 0.9216 0.0683 0.2056 1
O47 0.9218 0.2031 0.6475 1
O48 0.9246 0.5004 0.4834 1
O49 0.9268 0.9484 0.6784 1
O50 0.9406 0.4857 0.6646 1
O51 0.9463 0.6925 0.1614 1
O52 0.9484 0.6784 0.9268 1
O53 0.9577 0.6912 0.6851 1
O54 0.9591 0.7126 0.3952 1
O55 0.9834 0.0004 0.4246 1
O56 0.9857 0.4406 0.1646 1
# Total magnetization ... 6.00 Bohr magnetons per cell
# Energy relative to the elements, uncorrected ... -3051 meV per atom

=====

# meta-GGA SCAN ReOs3N, single point on PBEsol structure
data_ReOs3N
_chemical_formula_sum 'Re1 Os3 N1'
_cell_length_a 4.6904
_cell_length_b 4.6904
_cell_length_c 4.6904
_cell_angle_alpha 90.00
_cell_angle_beta 90.00
_cell_angle_gamma 90.00
_space_group_name_H-M_alt 'P 1'
_space_group_IT_number 1
loop_
_space_group_symop_operation_xyz
'x,y,z'
loop_
_atom_site_label
_atom_site_fract_x
_atom_site_fract_y
_atom_site_fract_z
_atom_site_occupancy
Re1 0.0000 0.0000 0.0000 1
Os1 0.0000 0.0000 0.5000 1
Os2 0.0000 0.5000 0.0000 1
Os3 0.5000 0.0000 0.0000 1
N1 0.5000 0.5000 0.5000 1
# Total magnetization ... 4.86 Bohr magnetons per cell
# Energy relative to the elements, uncorrected ... 3427 meV per atom

=====

# meta-GGA SCAN Nb2ZnCrP, single point on PBEsol structure
data_Nb2ZnCrP
_chemical_formula_sum 'Nb2 Zn1 Cr1 P1'
_cell_length_a 4.6031
_cell_length_b 4.6031
_cell_length_c 4.1806
_cell_angle_alpha 90.00
_cell_angle_beta 90.00
_cell_angle_gamma 90.00
_space_group_name_H-M_alt 'P 1'
_space_group_IT_number 1
loop_
_space_group_symop_operation_xyz
'x,y,z'
loop_
_atom_site_label
_atom_site_fract_x
_atom_site_fract_y
_atom_site_fract_z
_atom_site_occupancy
Nb1 0.0000 0.5000 0.0000 1
Nb2 0.5000 0.0000 0.0000 1
Zn1 0.0000 0.0000 0.5000 1
Cr1 0.5000 0.5000 0.0000 1
P1 0.5000 0.5000 0.5000 1
# Total magnetization ... 0.00 Bohr magnetons per cell
# Energy of formation from the pure elements ... 0.694 eV per atom